Below is a relaxed LaHf2Si2 crystal, with properties calculated at the GGA-PBE level.

Geometry as CIF:
```
data_LaHf2Si2
_chemical_formula_sum 'La2 Hf4 Si4'
_symmetry_space_group_name_H-M 'I 4/m m m'
_symmetry_Int_Tables_number 139
_symmetry_space_group_name_Hall '-I 4 2'
_cell_length_a 5.008
_cell_length_b 5.008
_cell_length_c 9.635
_cell_angle_alpha 90.00
_cell_angle_beta 90.00
_cell_angle_gamma 90.00
loop_
_atom_site_label
_atom_site_type_symbol
_atom_site_fract_x
_atom_site_fract_y
_atom_site_fract_z
La1 La 0.000 0.000 0.000
Hf1 Hf 0.000 0.000 0.334
Si1 Si 0.000 0.500 0.250
```

Computed properties:
formation energy (no corrections)	-0.224	eV per atom
crystal system	tetragonal
ΔE to the lowest computed polymorph	284	meV per atom

Below is a relaxed Nb4Sn2C crystal, with properties calculated at the GGA-PBE level.

Geometry as CIF:
```
data_Nb4Sn2C
_chemical_formula_sum 'Nb8 Sn4 C2'
_symmetry_space_group_name_H-M 'P b a m'
_symmetry_Int_Tables_number 55
_cell_length_a 7.405
_cell_length_b 10.312
_cell_length_c 3.307
_cell_angle_alpha 90.00
_cell_angle_beta 90.00
_cell_angle_gamma 90.00
loop_
_symmetry_equiv_pos_as_xyz
'x,y,z'
'-x,-y,-z'
'-x,-y,z'
'x,y,-z'
'x+1/2,-y+1/2,-z'
'-x+1/2,y+1/2,z'
'-x+1/2,y+1/2,-z'
'x+1/2,-y+1/2,z'
loop_
_atom_site_label
_atom_site_type_symbol
_atom_site_fract_x
_atom_site_fract_y
_atom_site_fract_z
Nb1 Nb 0.132 0.189 0.000
Nb2 Nb 0.169 0.923 0.500
Sn1 Sn 0.064 0.636 0.500
C1 C 0.000 0.000 0.000
```

Computed properties:
crystal system	orthorhombic
energy relative to the elements	-0.27	eV per atom

Number 1 is which compound? LaHf2Si2

What is the formula in the first record? LaHf2Si2